First-principles (PBE-GGA) data for a relaxed Pr8Os3Br4N crystal, as listed in Alexandria via LeMat-Bulk.

Cell lengths 8.159, 9.158, 8.157 Å; angles 116.41, 120.01, 90.00 degrees
Fractional coordinates of all 16 atoms:
Pr1 0.220 0.684 0.439
Pr2 0.746 0.684 0.965
Br1 0.500 0.000 0.000
N1 0.000 0.500 0.000
Pr3 0.264 0.293 0.529
Pr4 0.254 0.316 0.035
Pr5 0.736 0.707 0.471
Pr6 0.781 0.316 0.035
Pr7 0.219 0.684 0.965
Os1 0.500 0.500 0.500
Pr8 0.780 0.316 0.561
Os2 0.000 0.500 0.500
Br2 0.000 0.000 0.500
Os3 0.500 0.500 0.000
Br3 0.500 0.000 0.500
Br4 0.000 0.000 0.000

Summary:
The calculation puts the uncorrected formation energy at -77.6 kJ/mol of atoms.

First-principles (PBE-GGA) data for a relaxed YHf3Cr crystal, as listed in Alexandria via LeMat-Bulk.

Cell lengths 5.054, 5.054, 5.054 Å; angles 90.00, 90.00, 90.00 degrees
Each line ends with the local moment (μB).
Fractional coordinates of all 5 atoms:
Y1 0.000 0.000 0.000  0.04
Cr1 0.500 0.500 0.500  0.09
Hf1 0.000 0.500 0.000  0.04
Hf2 0.500 0.000 0.000  0.01
Hf3 0.000 0.000 0.500  0.03

Summary:
Its formation energy is 2.19 eV per atom.

First-principles (PBE-GGA) data for a relaxed Ca4YNi crystal, as listed in Alexandria via LeMat-Bulk.

Cell lengths 6.691, 6.691, 6.691 Å; angles 60.00, 60.00, 60.00 degrees
Each line ends with the local moment (μB).
Fractional coordinates of all 6 atoms:
Ca1 0.375 0.875 0.375  0.04
Ni1 0.750 0.750 0.750  0.57
Ca2 0.375 0.375 0.375  0.04
Ca3 0.375 0.375 0.875  0.04
Ca4 0.875 0.375 0.375  0.04
Y1 0.000 0.000 0.000  0.10

Summary:
Its formation energy is 0.68 eV per atom.

First-principles (PBE-GGA) data for a relaxed CoIrRh4 crystal, as listed in Alexandria via LeMat-Bulk.

Cell lengths 5.031, 5.031, 5.031 Å; angles 60.00, 60.00, 60.00 degrees
Each line ends with the local moment (μB).
Fractional coordinates of all 6 atoms:
Rh1 0.375 0.875 0.375  0.29
Rh2 0.875 0.375 0.375  0.29
Co1 0.750 0.750 0.750  2.10
Rh3 0.375 0.375 0.875  0.29
Rh4 0.375 0.375 0.375  0.29
Ir1 0.000 0.000 0.000  0.52

Summary:
Its formation energy is 0.59 eV per atom.

First-principles (PBE-GGA) data for a relaxed MgCr2Pt9 crystal, as listed in Alexandria via LeMat-Bulk.

Cell lengths 3.925, 3.925, 11.813 Å; angles 90.00, 90.00, 90.00 degrees
Each line ends with the local moment (μB).
Fractional coordinates of all 12 atoms:
Pt1 0.500 0.500 0.000  -0.14
Cr1 0.000 0.000 0.335  2.67
Pt2 0.500 0.500 0.666  -0.11
Pt3 0.000 0.500 0.171  -0.11
Pt4 0.500 0.500 0.334  -0.11
Pt5 0.500 0.000 0.500  -0.12
Pt6 0.000 0.500 0.829  -0.11
Mg1 0.000 0.000 0.000  0.00
Cr2 0.000 0.000 0.665  2.67
Pt7 0.500 0.000 0.829  -0.11
Pt8 0.500 0.000 0.171  -0.11
Pt9 0.000 0.500 0.500  -0.12

Summary:
Its formation energy is -0.39 eV per atom.

First-principles (PBE-GGA) data for a relaxed YInSe3 crystal, as listed in Alexandria via LeMat-Bulk.

Cell lengths 6.994, 10.610, 7.727 Å; angles 90.00, 90.00, 90.00 degrees
Fractional coordinates of all 20 atoms:
In1 0.856 0.750 0.858
Se1 0.147 0.926 0.836
Se2 0.111 0.750 0.385
In2 0.644 0.250 0.358
Se3 0.647 0.926 0.664
Y1 0.000 0.000 0.500
Se4 0.389 0.250 0.885
Y2 0.000 0.500 0.500
Se5 0.353 0.074 0.336
Se6 0.647 0.574 0.664
In3 0.356 0.750 0.642
Se7 0.147 0.574 0.836
Se8 0.853 0.074 0.164
Se9 0.353 0.426 0.336
Se10 0.853 0.426 0.164
In4 0.144 0.250 0.142
Y3 0.500 0.500 0.000
Y4 0.500 0.000 0.000
Se11 0.611 0.750 0.115
Se12 0.889 0.250 0.615

Summary:
The calculation puts the uncorrected formation energy at -105.7 kJ/mol of atoms.

First-principles (PBE-GGA) data for a relaxed TmHfCoOs crystal, as listed in Alexandria via LeMat-Bulk.

Cell lengths 4.621, 4.621, 4.621 Å; angles 60.00, 60.00, 60.00 degrees
Each line ends with the local moment (μB).
Fractional coordinates of all 4 atoms:
Co1 0.750 0.750 0.750  0.57
Hf1 0.500 0.500 0.500  -0.09
Tm1 0.000 0.000 0.000  -0.12
Os1 0.250 0.250 0.250  0.03

Summary:
Its formation energy is -0.40 eV per atom.

First-principles (PBE-GGA) data for a relaxed Cu6Pt5 crystal, as listed in Alexandria via LeMat-Bulk.

Cell lengths 4.283, 5.809, 6.766 Å; angles 90.00, 71.55, 90.00 degrees
Fractional coordinates of all 11 atoms:
Pt1 0.671 0.000 0.657
Cu1 0.157 0.240 0.685
Cu2 0.843 0.240 0.315
Pt2 0.665 0.500 0.669
Pt3 0.000 0.500 0.000
Pt4 0.329 0.000 0.343
Cu3 0.843 0.760 0.315
Cu4 0.500 0.228 0.000
Cu5 0.500 0.772 0.000
Cu6 0.157 0.760 0.685
Pt5 0.335 0.500 0.331

Summary:
Its formation energy is -0.03 eV per atom.

First-principles (PBE-GGA) data for a relaxed TlWCl2 crystal, as listed in Alexandria via LeMat-Bulk.

Cell lengths 3.350, 3.350, 10.084 Å; angles 90.00, 90.00, 125.92 degrees
Each line ends with the local moment (μB).
Fractional coordinates of all 4 atoms:
W1 0.500 0.500 0.750  0.90
Cl1 0.000 0.000 0.942  0.02
Cl2 0.000 0.000 0.558  0.02
Tl1 0.500 0.500 0.250  -0.01

Summary:
The calculation puts the uncorrected formation energy at 6.0 kJ/mol of atoms.

First-principles (PBE-GGA) data for a relaxed KZnRh crystal, as listed in Alexandria via LeMat-Bulk.

Cell lengths 6.316, 6.316, 6.316 Å; angles 148.39, 148.38, 45.32 degrees
Fractional coordinates of all 3 atoms:
Zn1 0.273 0.273 0.000
K1 0.002 0.002 0.000
Rh1 0.725 0.725 0.000

Summary:
Its formation energy is 0.05 eV per atom.

First-principles (PBE-GGA) data for a relaxed Dy8CdIn2 crystal, as listed in Alexandria via LeMat-Bulk.

Cell lengths 5.128, 8.550, 8.842 Å; angles 118.91, 106.86, 90.00 degrees
Fractional coordinates of all 11 atoms:
In1 0.803 0.303 0.606
Dy1 0.657 0.440 0.313
Dy2 0.343 0.560 0.687
In2 0.197 0.697 0.394
Dy3 0.859 0.859 0.718
Dy4 0.343 0.126 0.687
Dy5 0.141 0.141 0.282
Dy6 0.000 0.312 0.000
Cd1 0.500 0.000 0.000
Dy7 0.657 0.874 0.313
Dy8 0.000 0.688 0.000

Summary:
Its formation energy is -0.15 eV per atom.

First-principles (PBE-GGA) data for a relaxed ZrTi2Pb crystal, as listed in Alexandria via LeMat-Bulk.

Cell lengths 3.971, 4.481, 4.481 Å; angles 90.00, 90.00, 90.00 degrees
Fractional coordinates of all 4 atoms:
Ti1 0.000 0.000 0.500
Pb1 0.500 0.500 0.500
Ti2 0.000 0.500 0.000
Zr1 0.500 0.000 0.000

Summary:
Its formation energy is -0.06 eV per atom.

First-principles (PBE-GGA) data for a relaxed SbBrO crystal, as listed in Alexandria via LeMat-Bulk.

Cell lengths 6.259, 3.502, 7.441 Å; angles 90.00, 98.63, 90.00 degrees
Fractional coordinates of all 6 atoms:
Sb1 0.321 0.000 0.615
O1 0.442 0.500 0.520
Br1 0.993 0.500 0.836
O2 0.442 0.000 0.020
Br2 0.993 0.000 0.336
Sb2 0.321 0.500 0.115

Summary:
The calculation puts the uncorrected formation energy at -74.9 kJ/mol of atoms.

First-principles (PBE-GGA) data for a relaxed BaNp2O8 crystal, as listed in Alexandria via LeMat-Bulk.

Cell lengths 4.233, 7.235, 6.602 Å; angles 87.29, 71.29, 72.98 degrees
Fractional coordinates of all 11 atoms:
O1 0.138 0.354 0.370
O2 0.879 0.950 0.292
O3 0.839 0.338 0.984
Np1 0.007 0.672 0.315
O4 0.161 0.662 0.016
O5 0.500 0.693 0.307
Np2 0.993 0.328 0.685
O6 0.862 0.646 0.630
O7 0.121 0.050 0.708
O8 0.500 0.307 0.693
Ba1 0.500 0.000 0.000

Summary:
The calculation puts the uncorrected formation energy at -245.1 kJ/mol of atoms.

First-principles (PBE-GGA) data for a relaxed MoPtC3 crystal, as listed in Alexandria via LeMat-Bulk.

Cell lengths 4.063, 4.063, 4.063 Å; angles 90.00, 90.00, 90.00 degrees
Fractional coordinates of all 5 atoms:
C1 0.000 0.000 0.500
Pt1 0.500 0.500 0.500
C2 0.000 0.500 0.000
Mo1 0.000 0.000 0.000
C3 0.500 0.000 0.000

Summary:
Its formation energy is 2.24 eV per atom.

First-principles (PBE-GGA) data for a relaxed SrRuSe2 crystal, as listed in Alexandria via LeMat-Bulk.

Cell lengths 5.357, 5.357, 5.357 Å; angles 137.38, 111.02, 84.57 degrees
Fractional coordinates of all 4 atoms:
Sr1 0.750 0.250 0.500
Ru1 0.250 0.750 0.500
Se1 0.442 0.442 0.000
Se2 0.058 0.058 0.000

Summary:
The calculation puts the uncorrected formation energy at -67.6 kJ/mol of atoms.

First-principles (PBE-GGA) data for a relaxed NaTlIn4 crystal, as listed in Alexandria via LeMat-Bulk.

Cell lengths 5.573, 6.159, 6.159 Å; angles 94.80, 114.78, 114.78 degrees
Fractional coordinates of all 6 atoms:
Tl1 0.500 0.000 0.500
In1 0.753 0.581 0.420
In2 0.247 0.419 0.580
In3 0.753 0.920 0.081
Na1 0.000 0.500 0.000
In4 0.247 0.080 0.919

Summary:
Its formation energy is -0.05 eV per atom.

First-principles (PBE-GGA) data for a relaxed La2Y4Tl3H2 crystal, as listed in Alexandria via LeMat-Bulk.

Cell lengths 4.852, 4.852, 12.944 Å; angles 100.80, 100.80, 90.00 degrees
Fractional coordinates of all 11 atoms:
H1 0.596 0.596 0.192
Tl1 0.168 0.168 0.337
H2 0.404 0.404 0.808
La1 0.697 0.697 0.393
La2 0.303 0.303 0.607
Y1 0.581 0.081 0.162
Y2 0.419 0.919 0.838
Y3 0.919 0.419 0.838
Y4 0.081 0.581 0.162
Tl2 0.832 0.832 0.663
Tl3 0.000 0.000 0.000

Summary:
The value obtained for the total energy is -0.1781 hartree per atom.

First-principles (PBE-GGA) data for a relaxed CaPmP2 crystal, as listed in Alexandria via LeMat-Bulk.

Cell lengths 5.015, 5.015, 5.015 Å; angles 60.00, 60.00, 60.00 degrees
Fractional coordinates of all 4 atoms:
P1 0.750 0.750 0.750
Ca1 0.500 0.500 0.500
Pm1 0.000 0.000 0.000
P2 0.250 0.250 0.250

Summary:
Its formation energy is -0.92 eV per atom.

First-principles (PBE-GGA) data for a relaxed IrRu crystal, as listed in Alexandria via LeMat-Bulk.

Cell lengths 4.754, 5.148, 2.748 Å; angles 74.64, 90.00, 117.67 degrees
Fractional coordinates of all 4 atoms:
Ir1 0.085 0.502 0.249
Ru1 0.500 0.000 0.500
Ir2 0.998 0.998 0.001
Ru2 0.583 0.500 0.750

Summary:
Its formation energy is -0.03 eV per atom.

First-principles (PBE-GGA) data for a relaxed SiNiW crystal, as listed in Alexandria via LeMat-Bulk.

Cell lengths 4.032, 4.032, 2.775 Å; angles 90.00, 90.00, 120.00 degrees
Fractional coordinates of all 3 atoms:
Ni1 0.000 0.000 0.167
Si1 0.333 0.667 0.166
W1 0.667 0.333 0.666

Summary:
The calculation puts the uncorrected formation energy at -15.9 kJ/mol of atoms.

First-principles (PBE-GGA) data for a relaxed YAlCd crystal, as listed in Alexandria via LeMat-Bulk.

Cell lengths 4.327, 7.364, 5.845 Å; angles 102.63, 111.73, 53.94 degrees
Fractional coordinates of all 6 atoms:
Al1 0.963 0.125 0.341
Y1 0.408 0.375 0.731
Cd1 0.815 0.875 0.545
Cd2 0.110 0.375 0.137
Y2 0.518 0.875 0.951
Al2 0.463 0.625 0.341

Summary:
Its formation energy is -0.30 eV per atom.

First-principles (PBE-GGA) data for a relaxed BaAlIrI2 crystal, as listed in Alexandria via LeMat-Bulk.

Cell lengths 5.511, 5.772, 5.511 Å; angles 90.00, 90.00, 90.00 degrees
Fractional coordinates of all 5 atoms:
Ir1 0.000 0.000 0.000
I1 0.000 0.000 0.500
Ba1 0.000 0.500 0.000
I2 0.500 0.000 0.000
Al1 0.500 0.500 0.500

Summary:
The calculation puts the uncorrected formation energy at 16.0 kJ/mol of atoms.

First-principles (PBE-GGA) data for a relaxed CaSn7 crystal, as listed in Alexandria via LeMat-Bulk.

Cell lengths 6.766, 6.766, 6.766 Å; angles 60.00, 60.00, 60.00 degrees
Fractional coordinates of all 8 atoms:
Sn1 0.500 0.500 0.000
Sn2 0.000 0.500 0.000
Sn3 0.000 0.000 0.500
Sn4 0.000 0.500 0.500
Sn5 0.500 0.000 0.500
Sn6 0.500 0.000 0.000
Ca1 0.000 0.000 0.000
Sn7 0.500 0.500 0.500

Summary:
Its formation energy is -0.14 eV per atom.

First-principles (PBE-GGA) data for a relaxed PrBiPb4 crystal, as listed in Alexandria via LeMat-Bulk.

Cell lengths 6.476, 6.476, 6.476 Å; angles 60.00, 60.00, 60.00 degrees
Fractional coordinates of all 6 atoms:
Pb1 0.625 0.625 0.124
Bi1 0.250 0.250 0.250
Pb2 0.625 0.625 0.625
Pb3 0.124 0.625 0.625
Pr1 0.000 0.000 0.000
Pb4 0.625 0.124 0.625

Summary:
Its formation energy is -0.09 eV per atom.

First-principles (PBE-GGA) data for a relaxed CaTbH2 crystal, as listed in Alexandria via LeMat-Bulk.

Cell lengths 3.708, 3.708, 6.508 Å; angles 73.45, 73.45, 60.00 degrees
Each line ends with the local moment (μB).
Fractional coordinates of all 4 atoms:
H1 0.333 0.333 0.001  0.00
H2 0.049 0.049 0.853  -0.01
Tb1 0.651 0.651 0.046  0.38
Ca1 0.467 0.467 0.600  0.11

Summary:
The value obtained for the total energy is -0.1333 hartree per atom.